(1)
{"formula": "Cs3HoAg2I9", "functional": "GGA-PBE", "state": "relaxed", "lattice": [[-0.580, 7.396, 4.092], [-6.053, -5.852, 0.948], [5.251, -4.109, 8.169]], "species": ["Cs", "I", "I", "Ho", "I", "I", "Cs", "I", "I", "I", "Cs", "I", "I", "Ag", "Ag"], "frac_coords": [[0.667, 0.333, 0.325], [0.500, 0.000, 0.000], [0.335, 0.168, 0.665], [0.000, 0.000, 0.500], [0.168, 0.832, 0.335], [0.168, 0.335, 0.335], [0.000, 0.000, 0.000], [0.832, 0.665, 0.665], [0.500, 0.500, 0.000], [0.665, 0.832, 0.335], [0.333, 0.667, 0.675], [0.000, 0.500, 0.000], [0.832, 0.168, 0.665], [0.333, 0.667, 0.151], [0.667, 0.333, 0.849]], "dft_energy_ev_per_cell": -42.32, "formation_energy_uncorrected_mev_per_atom": -1035.4}

(2)
{"formula": "BaY2O", "functional": "GGA-PBE", "state": "relaxed", "lattice": [[-2.074, -2.188, -1.959], [1.124, -1.137, -3.220], [3.905, -8.890, 2.496]], "species": ["O", "Ba", "Y", "Y"], "frac_coords": [[0.500, 0.500, 0.500], [0.000, 0.000, 0.000], [0.123, 0.123, 0.631], [0.877, 0.877, 0.369]], "polymorph_energy_mev_per_atom": 178, "dft_energy_ev_per_cell": -24.39, "formation_energy_uncorrected_mev_per_atom": -1146.2}

(3)
{"formula": "La5Sc4", "functional": "GGA-PBE", "state": "relaxed", "lattice": [[4.988, 0.000, 0.000], [2.494, 7.485, 0.000], [-2.494, 0.000, 7.485]], "species": ["Sc", "La", "Sc", "La", "Sc", "La", "La", "La", "Sc"], "frac_coords": [[0.000, 0.653, 0.653], [0.330, 0.340, 0.000], [0.653, 0.347, 0.653], [0.330, 0.000, 0.660], [0.000, 0.347, 0.347], [0.670, 0.660, 0.000], [0.000, 0.000, 0.000], [0.670, 0.000, 0.340], [0.347, 0.653, 0.347]], "polymorph_energy_mev_per_atom": 0, "dft_energy_ev_per_cell": -49.27}

(4)
{"formula": "AsP2Cl2", "functional": "GGA-PBE", "state": "relaxed", "lattice": [[3.232, 0.000, 0.000], [0.000, 3.232, 0.000], [1.616, 1.616, 11.225]], "species": ["P", "Cl", "As", "P", "Cl"], "frac_coords": [[0.750, 0.250, 0.500], [0.425, 0.425, 0.150], [0.000, 0.000, 0.000], [0.250, 0.750, 0.500], [0.575, 0.575, 0.850]], "polymorph_energy_mev_per_atom": 0, "dft_energy_ev_per_cell": -17.70, "formation_energy_uncorrected_mev_per_atom": 292.9}

(5)
{"formula": "NaPrDy2", "functional": "GGA-PBE", "state": "relaxed", "lattice": [[3.591, 0.000, 0.000], [0.000, 3.591, 0.000], [0.000, 0.000, 10.552]], "species": ["Dy", "Na", "Pr", "Dy"], "frac_coords": [[0.000, 0.000, 0.765], [0.500, 0.500, 0.500], [0.500, 0.500, 0.000], [0.000, 0.000, 0.235]], "polymorph_energy_mev_per_atom": 0, "dft_energy_ev_per_cell": -14.69}

(6)
{"formula": "Zr2SiSb", "functional": "GGA-PBE", "state": "relaxed", "lattice": [[-6.645, 6.925, -0.276], [-8.560, 4.296, -0.682], [-7.697, 5.244, 2.335]], "species": ["Zr", "Si", "Zr", "Sb"], "frac_coords": [[0.007, 0.007, 0.007], [0.748, 0.748, 0.748], [0.249, 0.249, 0.249], [0.496, 0.496, 0.496]], "polymorph_energy_mev_per_atom": 675, "dft_energy_ev_per_cell": -26.63, "formation_energy_uncorrected_mev_per_atom": 2.1}

For each record above, in turn, the calculated V values are 655.5 109.8 279.4 117.2 136.0 87.6 Å³/cell.